Crystalline Ce2GaGe at its relaxed geometry. Source: the Alexandria database, functional PBE.

Output
Calculated formation energy, eV per formula unit: -2.24
Electronic total energy, eV/atom: -5.439
Space group: P4/mmm (123)

Cell: 3.879 3.879 6.248 Å, 90.00 90.00 90.00°
Element x y z (fractional)
Ge 0.500 0.500 0.000
Ga 0.500 0.500 0.500
Ce 0.000 0.000 0.761
Ce 0.000 0.000 0.239

Crystalline Ce6Ga2Ge at its relaxed geometry. Source: the Alexandria database, functional PBE.

Output
Offset from the most stable computed form, meV per atom: 0
Calculated formation energy, eV per formula unit: -2.89
Electronic total energy, eV/atom: -5.463
Space group: Immm (71)

Cell: 8.462 8.462 8.462 Å, 99.35 121.75 108.14°
Element x y z (fractional)
Ce 0.485 0.716 0.769
Ce 0.515 0.284 0.231
Ce 0.053 0.284 0.769
Ce 0.947 0.716 0.231
Ce 0.832 0.757 0.589
Ce 0.168 0.243 0.411
Ce 0.168 0.757 0.925
Ce 0.832 0.243 0.075
Ce 0.724 0.396 0.672
Ce 0.276 0.604 0.328
Ce 0.276 0.948 0.672
Ce 0.724 0.052 0.328
Ga 0.500 0.377 0.877
Ga 0.500 0.623 0.123
Ga 0.653 0.000 0.653
Ga 0.347 0.000 0.347
Ge 0.000 0.500 0.500
Ge 0.000 0.000 0.000

Crystalline Ce2GaGe2 at its relaxed geometry. Source: the Alexandria database, functional PBE.

Output
Offset from the most stable computed form, meV per atom: 0
Calculated formation energy, eV per formula unit: -3.27
Electronic total energy, eV/atom: -5.479
Space group: C2/m (12)

Cell: 4.214 5.906 10.315 Å, 78.01 78.21 69.10°
Element x y z (fractional)
Ce 0.693 0.259 0.355
Ce 0.923 0.240 0.914
Ce 0.307 0.741 0.645
Ce 0.077 0.760 0.086
Ga 0.558 0.183 0.702
Ga 0.442 0.817 0.298
Ge 0.062 0.299 0.576
Ge 0.671 0.794 0.864
Ge 0.938 0.701 0.424
Ge 0.329 0.206 0.136

Question: Number 1 is which compound?
Answer: Ce2GaGe